## Cu3NiAu6 (PBE)

Data for crystalline Cu3NiAu6 at its relaxed geometry.

Lattice parameters (Å, degrees): 7.4256 4.5945 9.8344 90.00 110.89 90.00
Fractional positions:
1 Cu 0.1020 0.2500 0.2281
2 Cu 0.2954 0.2500 0.0326
3 Cu 0.3161 0.7500 0.3737
4 Cu 0.6839 0.2500 0.6263
5 Cu 0.7046 0.7500 0.9674
6 Cu 0.8980 0.7500 0.7719
7 Ni 0.1087 0.7500 0.5725
8 Ni 0.8913 0.2500 0.4275
9 Au 0.0665 0.2500 0.7106
10 Au 0.1016 0.7500 0.0750
11 Au 0.2718 0.2500 0.5159
12 Au 0.2855 0.7500 0.8633
13 Au 0.4934 0.2500 0.8348
14 Au 0.4938 0.2500 0.3333
15 Au 0.5062 0.7500 0.6667
16 Au 0.5066 0.7500 0.1652
17 Au 0.7145 0.2500 0.1367
18 Au 0.7282 0.7500 0.4841
19 Au 0.8984 0.2500 0.9250
20 Au 0.9335 0.7500 0.2894

Results
**Space group**: P2_1/m, No. 11
**DOS(E_F)**: 0.46 states/eV per atom
**Total DFT energy (no corrections)**: -75.3 eV for the cell shown